Entry 1:
Density functional theory data (GGA-PBE) for a relaxed structure of V2ZnNiH.

Geometry as CIF:
```
data_V2ZnNiH
_cell_length_a 3.7692
_cell_length_b 3.7692
_cell_length_c 3.7506
_cell_angle_alpha 90.00
_cell_angle_beta 90.00
_cell_angle_gamma 90.00
_space_group_name_H-M_alt 'P 1'
_space_group_IT_number 1
loop_
_space_group_symop_operation_xyz
'x,y,z'
loop_
_atom_site_label
_atom_site_type_symbol
_atom_site_fract_x
_atom_site_fract_y
_atom_site_fract_z
V1 V 0.0000 0.5000 0.0000
V2 V 0.5000 0.0000 0.0000
Zn1 Zn 0.0000 0.0000 0.5000
Ni1 Ni 0.5000 0.5000 0.5000
H1 H 0.5000 0.5000 0.0000
```

Relative energy among the computed polymorphs: 0 meV per atom
Magnetization: 0.0 μB/f.u.
Volume: 10.66 Å³ per atom
Symmetry: P4/mmm, No. 123

=====

Entry 2:
Density functional theory data (GGA-PBE) for a relaxed structure of VZnNi2H.

Geometry as CIF:
```
data_VZnNi2H
_cell_length_a 3.7289
_cell_length_b 3.7289
_cell_length_c 3.7384
_cell_angle_alpha 90.00
_cell_angle_beta 90.00
_cell_angle_gamma 90.00
_space_group_name_H-M_alt 'P 1'
_space_group_IT_number 1
loop_
_space_group_symop_operation_xyz
'x,y,z'
loop_
_atom_site_label
_atom_site_type_symbol
_atom_site_fract_x
_atom_site_fract_y
_atom_site_fract_z
V1 V 0.0000 0.0000 0.0000
Zn1 Zn 0.5000 0.5000 0.0000
Ni1 Ni 0.0000 0.5000 0.5000
Ni2 Ni 0.5000 0.0000 0.5000
H1 H 0.0000 0.0000 0.5000
```

E_tot: -5.112 eV/atom
Magnetization: 2.7 μB/f.u.
Volume: 10.40 Å³ per atom
Symmetry: P4/mmm, No. 123

=====

Entry 3:
Density functional theory data (GGA-PBE) for a relaxed structure of Zr2VNiH.

Geometry as CIF:
```
data_Zr2VNiH
_cell_length_a 4.6108
_cell_length_b 4.6108
_cell_length_c 3.4016
_cell_angle_alpha 90.00
_cell_angle_beta 90.00
_cell_angle_gamma 90.00
_space_group_name_H-M_alt 'P 1'
_space_group_IT_number 1
loop_
_space_group_symop_operation_xyz
'x,y,z'
loop_
_atom_site_label
_atom_site_type_symbol
_atom_site_fract_x
_atom_site_fract_y
_atom_site_fract_z
Zr1 Zr 0.0000 0.5000 0.0000
Zr2 Zr 0.5000 0.0000 0.0000
V1 V 0.0000 0.0000 0.5000
Ni1 Ni 0.5000 0.5000 0.5000
H1 H 0.5000 0.5000 0.0000
```

Relative energy among the computed polymorphs: 0 meV per atom
Magnetization: 1.8 μB/f.u.
Volume: 14.46 Å³ per atom
Symmetry: P4/mmm, No. 123